Entry 1:
First-principles (PBE) data for a relaxed structure of Tb2Pm6Dy3Pu, as listed in Alexandria.

## Properties
- SG = C2/m (12)
- N(E_F) (states/eV per cell) = 23.16
- formation enthalpy at 0 K (meV per atom) = 46

Cell: 6.234 6.234 11.814 Å, 95.04 95.04 120.05°
Element x y z (fractional)
Tb: 0.167 0.833 0.000
Tb: 0.833 0.167 0.000
Pm: 0.087 0.417 0.751
Pm: 0.253 0.253 0.249
Pm: 0.417 0.087 0.751
Pm: 0.583 0.913 0.249
Pm: 0.747 0.747 0.751
Pm: 0.913 0.583 0.249
Dy: 0.000 0.000 0.500
Dy: 0.333 0.667 0.500
Dy: 0.667 0.333 0.500
Pu: 0.500 0.500 0.000

---

Entry 2:
First-principles (PBE) data for a relaxed structure of Ac6La3Dy2, as listed in Alexandria.

## Properties
- SG = P-1 (2)
- N(E_F) (states/eV per cell) = 20.69
- formation enthalpy at 0 K (meV per atom) = 42

Cell: 6.676 8.586 8.596 Å, 107.29 104.90 97.41°
Element x y z (fractional)
Ac: 0.053 0.402 0.181
Ac: 0.135 0.230 0.549
Ac: 0.322 0.869 0.265
Ac: 0.678 0.131 0.735
Ac: 0.865 0.770 0.451
Ac: 0.947 0.598 0.819
La: 0.407 0.684 0.643
La: 0.500 0.500 0.000
La: 0.593 0.316 0.357
Dy: 0.232 0.045 0.913
Dy: 0.768 0.955 0.087

---

Entry 3:
First-principles (PBE) data for a relaxed structure of Ba3Sr2Ag3, as listed in Alexandria.

## Properties
- SG = Cmcm (63)
- N(E_F) (states/eV per cell) = 13.19
- formation enthalpy at 0 K (meV per atom) = -198

Cell: 7.922 7.922 17.657 Å, 90.00 90.00 144.12°
Element x y z (fractional)
Ba: 0.053 0.947 0.621
Ba: 0.053 0.947 0.879
Ba: 0.347 0.653 0.750
Ba: 0.653 0.347 0.250
Ba: 0.947 0.053 0.121
Ba: 0.947 0.053 0.379
Sr: 0.227 0.773 0.082
Sr: 0.227 0.773 0.418
Sr: 0.773 0.227 0.582
Sr: 0.773 0.227 0.918
Ag: 0.338 0.662 0.250
Ag: 0.410 0.590 0.534
Ag: 0.410 0.590 0.966
Ag: 0.590 0.410 0.034
Ag: 0.590 0.410 0.466
Ag: 0.662 0.338 0.750

---

Entry 4:
First-principles (PBE) data for a relaxed structure of PrMgRhAu, as listed in Alexandria.

## Properties
- SG = F-43m (216)
- N(E_F) (states/eV per cell) = 3.17
- formation enthalpy at 0 K (meV per atom) = -544

Cell: 4.927 4.927 4.927 Å, 60.00 60.00 60.00°
Element x y z (fractional)
Pr: 0.000 0.000 0.000
Mg: 0.500 0.500 0.500
Rh: 0.250 0.250 0.250
Au: 0.750 0.750 0.750

---

Entry 5:
First-principles (PBE) data for a relaxed structure of Ac6GeSb5, as listed in Alexandria.

## Properties
- SG = C2/m (12)
- N(E_F) (states/eV per cell) = 8.27
- energy relative to the elements, uncorrected (eV per atom) = -1.09

Cell: 8.266 8.266 8.247 Å, 99.63 99.63 119.97°
Element x y z (fractional)
Ac: 0.081 0.407 0.744
Ac: 0.244 0.244 0.253
Ac: 0.407 0.081 0.744
Ac: 0.593 0.919 0.256
Ac: 0.756 0.756 0.747
Ac: 0.919 0.593 0.256
Ge: 0.000 0.000 0.500
Sb: 0.170 0.830 0.000
Sb: 0.334 0.666 0.500
Sb: 0.500 0.500 0.000
Sb: 0.666 0.334 0.500
Sb: 0.830 0.170 0.000

---

Entry 6:
First-principles (PBE) data for a relaxed structure of NaLi2Mg, as listed in Alexandria.

## Properties
- SG = P4/mmm (123)
- N(E_F) (states/eV per cell) = 2.02
- formation enthalpy at 0 K (meV per atom) = 31

Cell: 5.210 5.210 3.468 Å, 90.00 90.00 90.00°
Element x y z (fractional)
Na: 0.000 0.000 0.000
Li: 0.000 0.500 0.500
Li: 0.500 0.000 0.500
Mg: 0.500 0.500 0.000

---

Entry 7:
First-principles (PBE) data for a relaxed structure of DyCoSi, as listed in Alexandria.

## Properties
- SG = R-3m (166)
- N(E_F) (states/eV per cell) = 16.87
- energy relative to the elements, uncorrected (eV per atom) = -0.44

Cell: 12.613 12.613 12.613 Å, 23.91 23.91 23.91°
Element x y z (fractional)
Dy: 0.040 0.040 0.040
Dy: 0.181 0.181 0.181
Dy: 0.269 0.269 0.269
Dy: 0.731 0.731 0.731
Dy: 0.819 0.819 0.819
Dy: 0.960 0.960 0.960
Co: 0.000 0.500 0.500
Co: 0.393 0.393 0.393
Co: 0.500 0.000 0.500
Co: 0.500 0.500 0.000
Co: 0.500 0.500 0.500
Co: 0.607 0.607 0.607
Si: 0.225 0.720 0.720
Si: 0.280 0.280 0.775
Si: 0.280 0.775 0.280
Si: 0.720 0.225 0.720
Si: 0.720 0.720 0.225
Si: 0.775 0.280 0.280

---

Entry 8:
First-principles (PBE) data for a relaxed structure of Pr2Ga3SiNi4, as listed in Alexandria.

## Properties
- SG = P-4m2 (115)
- N(E_F) (states/eV per cell) = 7.65
- energy relative to the elements, uncorrected (eV per atom) = -0.59

Cell: 4.164 4.164 9.809 Å, 90.00 90.00 90.00°
Element x y z (fractional)
Pr: 0.000 0.500 0.248
Pr: 0.500 0.000 0.752
Ga: 0.000 0.000 0.000
Ga: 0.000 0.500 0.627
Ga: 0.500 0.000 0.373
Si: 0.500 0.500 0.000
Ni: 0.000 0.000 0.500
Ni: 0.000 0.500 0.878
Ni: 0.500 0.000 0.122
Ni: 0.500 0.500 0.500

---

Entry 9:
First-principles (PBE) data for a relaxed structure of LaPm2Mg, as listed in Alexandria.

## Properties
- SG = R3m (160)
- N(E_F) (states/eV per cell) = 4.97
- formation enthalpy at 0 K (meV per atom) = 42
- energy relative to the lowest polymorph listed for this composition (meV per atom) = 82

Cell: 11.770 11.770 11.770 Å, 17.72 17.72 17.72°
Element x y z (fractional)
La: 0.000 0.000 0.000
Pm: 0.244 0.244 0.244
Pm: 0.422 0.422 0.422
Mg: 0.833 0.833 0.833

---

Entry 10:
First-principles (PBE) data for a relaxed structure of Co2HgBr, as listed in Alexandria.

## Properties
- SG = Pm (6)
- N(E_F) (states/eV per cell) = 4.42
- energy relative to the elements, uncorrected (eV per atom) = 0.41
- energy relative to the lowest polymorph listed for this composition (meV per atom) = 69

Cell: 3.475 3.472 6.642 Å, 90.00 90.07 90.00°
Element x y z (fractional)
Co: 0.000 0.000 0.000
Co: 0.499 0.500 0.000
Hg: 0.999 0.500 0.681
Br: 0.501 0.000 0.273

---

Entry 11:
First-principles (PBE) data for a relaxed structure of AlReNF2, as listed in Alexandria.

## Properties
- SG = P4/mmm (123)
- N(E_F) (states/eV per cell) = 2.02
- energy relative to the elements, uncorrected (eV per atom) = -0.55
- energy relative to the lowest polymorph listed for this composition (meV per atom) = 0

Cell: 3.279 3.279 5.731 Å, 90.00 90.00 90.00°
Element x y z (fractional)
Al: 0.000 0.000 0.000
Re: 0.500 0.500 0.500
N: 0.000 0.000 0.500
F: 0.000 0.500 0.000
F: 0.500 0.000 0.000

---

Entry 12:
First-principles (PBE) data for a relaxed structure of MnHPd3, as listed in Alexandria.

## Properties
- SG = P1 (1)
- N(E_F) (states/eV per cell) = 10.07
- energy relative to the lowest polymorph listed for this composition (meV per atom) = 325

Cell: 5.063 5.074 5.381 Å, 97.71 98.66 112.53°
Element x y z (fractional)
Mn: 0.000 0.000 0.000
Mn: 0.331 0.339 0.989
H: 0.731 0.003 0.728
H: 0.829 0.565 0.139
Pd: 0.234 0.726 0.261
Pd: 0.273 0.277 0.501
Pd: 0.372 0.826 0.789
Pd: 0.714 0.219 0.260
Pd: 0.788 0.779 0.479
Pd: 0.825 0.403 0.796

---

Entry 13:
First-principles (PBE) data for a relaxed structure of BaSr2P, as listed in Alexandria.

## Properties
- SG = Cmmm (65)
- N(E_F) (states/eV per cell) = 3.24
- formation enthalpy at 0 K (meV per atom) = -570

Cell: 7.540 7.540 4.413 Å, 90.00 90.00 128.65°
Element x y z (fractional)
Ba: 0.000 0.000 0.000
Sr: 0.350 0.650 0.500
Sr: 0.650 0.350 0.500
P: 0.500 0.500 0.000

---

Entry 14:
First-principles (PBE) data for a relaxed structure of La2Sm2Er3, as listed in Alexandria.

## Properties
- SG = P2_1/c (14)
- N(E_F) (states/eV per cell) = 24.45
- formation enthalpy at 0 K (meV per atom) = 180
- energy relative to the lowest polymorph listed for this composition (meV per atom) = 53

Cell: 6.403 11.769 6.378 Å, 90.00 97.08 90.00°
Element x y z (fractional)
La: 0.028 0.150 0.464
La: 0.028 0.350 0.964
La: 0.972 0.650 0.036
La: 0.972 0.850 0.536
Sm: 0.403 0.720 0.707
Sm: 0.403 0.780 0.207
Sm: 0.597 0.220 0.793
Sm: 0.597 0.280 0.293
Er: 0.244 0.039 0.964
Er: 0.244 0.461 0.464
Er: 0.500 0.000 0.500
Er: 0.500 0.500 0.000
Er: 0.756 0.539 0.536
Er: 0.756 0.961 0.036

---

Entry 15:
First-principles (PBE) data for a relaxed structure of KSi2H14C4N, as listed in Alexandria.

## Properties
- SG = Pnma (62)
- N(E_F) (states/eV per cell) = 0.00

Cell: 5.961 15.782 11.630 Å, 90.00 90.00 90.00°
Element x y z (fractional)
K: 0.161 0.250 0.151
K: 0.339 0.750 0.651
K: 0.661 0.250 0.349
K: 0.839 0.750 0.849
Si: 0.143 0.152 0.453
Si: 0.143 0.348 0.453
Si: 0.357 0.652 0.953
Si: 0.357 0.848 0.953
Si: 0.643 0.152 0.047
Si: 0.643 0.348 0.047
Si: 0.857 0.652 0.547
Si: 0.857 0.848 0.547
H: 0.009 0.572 0.895
H: 0.009 0.928 0.895
H: 0.085 0.175 0.665
H: 0.085 0.325 0.665
H: 0.101 0.623 0.563
H: 0.101 0.877 0.563
H: 0.128 0.653 0.134
H: 0.128 0.847 0.134
H: 0.172 0.070 0.635
H: 0.172 0.430 0.635
H: 0.207 0.572 0.780
H: 0.207 0.928 0.780
H: 0.246 0.505 0.900
H: 0.246 0.995 0.900
H: 0.254 0.005 0.400
H: 0.254 0.495 0.400
H: 0.293 0.072 0.280
H: 0.293 0.428 0.280
H: 0.328 0.570 0.135
H: 0.328 0.930 0.135
H: 0.372 0.153 0.634
H: 0.372 0.347 0.634
H: 0.399 0.123 0.063
H: 0.399 0.377 0.063
H: 0.415 0.675 0.165
H: 0.415 0.825 0.165
H: 0.491 0.072 0.395
H: 0.491 0.428 0.395
H: 0.509 0.572 0.605
H: 0.509 0.928 0.605
H: 0.585 0.175 0.835
H: 0.585 0.325 0.835
H: 0.601 0.623 0.937
H: 0.601 0.877 0.937
H: 0.628 0.653 0.366
H: 0.628 0.847 0.366
H: 0.672 0.070 0.865
H: 0.672 0.430 0.865
H: 0.707 0.572 0.720
H: 0.707 0.928 0.720
H: 0.746 0.505 0.600
H: 0.746 0.995 0.600
H: 0.754 0.005 0.100
H: 0.754 0.495 0.100
H: 0.793 0.072 0.220
H: 0.793 0.428 0.220
H: 0.828 0.570 0.365
H: 0.828 0.930 0.365
H: 0.872 0.153 0.866
H: 0.872 0.347 0.866
H: 0.899 0.123 0.437
H: 0.899 0.377 0.437
H: 0.915 0.675 0.335
H: 0.915 0.825 0.335
H: 0.991 0.072 0.105
H: 0.991 0.428 0.105
C: 0.189 0.568 0.874
C: 0.189 0.932 0.874
C: 0.198 0.136 0.611
C: 0.198 0.364 0.611
C: 0.302 0.636 0.111
C: 0.302 0.864 0.111
C: 0.311 0.068 0.374
C: 0.311 0.432 0.374
C: 0.689 0.568 0.626
C: 0.689 0.932 0.626
C: 0.698 0.136 0.889
C: 0.698 0.364 0.889
C: 0.802 0.636 0.389
C: 0.802 0.864 0.389
C: 0.811 0.068 0.126
C: 0.811 0.432 0.126
N: 0.183 0.250 0.396
N: 0.317 0.750 0.896
N: 0.683 0.250 0.104
N: 0.817 0.750 0.604

---

Entry 16:
First-principles (PBE) data for a relaxed structure of Ca2ZrRu, as listed in Alexandria.

## Properties
- SG = P4/mmm (123)
- N(E_F) (states/eV per cell) = 7.59
- formation enthalpy at 0 K (meV per atom) = 453
- energy relative to the lowest polymorph listed for this composition (meV per atom) = 541

Cell: 3.276 3.276 9.112 Å, 90.00 90.00 90.00°
Element x y z (fractional)
Ca: 0.000 0.000 0.197
Ca: 0.000 0.000 0.803
Zr: 0.500 0.500 0.500
Ru: 0.500 0.500 0.000

---

Entry 17:
First-principles (PBE) data for a relaxed structure of Tb6PrDy2Y3, as listed in Alexandria.

## Properties
- SG = C2/m (12)
- N(E_F) (states/eV per cell) = 15.88
- formation enthalpy at 0 K (meV per atom) = 17

Cell: 6.186 6.186 11.847 Å, 94.97 94.97 119.96°
Element x y z (fractional)
Tb: 0.082 0.416 0.249
Tb: 0.250 0.250 0.751
Tb: 0.416 0.082 0.249
Tb: 0.584 0.918 0.751
Tb: 0.750 0.750 0.249
Tb: 0.918 0.584 0.751
Pr: 0.500 0.500 0.500
Dy: 0.167 0.833 0.500
Dy: 0.833 0.167 0.500
Y: 0.000 0.000 0.000
Y: 0.333 0.667 0.000
Y: 0.667 0.333 0.000

---

Entry 18:
First-principles (PBE) data for a relaxed structure of Ba4ZnCu, as listed in Alexandria.

## Properties
- SG = F-43m (216)
- N(E_F) (states/eV per cell) = 10.18
- formation enthalpy at 0 K (meV per atom) = 702
- energy relative to the lowest polymorph listed for this composition (meV per atom) = 750

Cell: 7.311 7.311 7.311 Å, 60.00 60.00 60.00°
Element x y z (fractional)
Ba: 0.125 0.125 0.125
Ba: 0.125 0.125 0.625
Ba: 0.125 0.625 0.125
Ba: 0.625 0.125 0.125
Zn: 0.500 0.500 0.500
Cu: 0.750 0.750 0.750

---

Entry 19:
First-principles (PBE) data for a relaxed structure of TiZnOs, as listed in Alexandria.

## Properties
- SG = I4mm (107)
- formation enthalpy at 0 K (meV per atom) = -336

Cell: 4.846 4.846 4.846 Å, 141.21 141.21 56.03°
Element x y z (fractional)
Ti: 0.000 0.000 0.000
Zn: 0.678 0.678 0.000
Os: 0.351 0.351 0.000

---

Entry 20:
First-principles (PBE) data for a relaxed structure of TbErTm2Se6, as listed in Alexandria.

## Properties
- SG = R3 (146)
- N(E_F) (states/eV per cell) = 0.00
- energy relative to the elements, uncorrected (eV per atom) = -1.84

Cell: 7.653 7.653 7.653 Å, 55.65 55.65 55.65°
Element x y z (fractional)
Tb: 0.000 0.000 0.000
Er: 0.499 0.499 0.499
Tm: 0.304 0.304 0.304
Tm: 0.805 0.805 0.805
Se: 0.093 0.409 0.701
Se: 0.206 0.904 0.591
Se: 0.409 0.701 0.093
Se: 0.591 0.206 0.904
Se: 0.701 0.093 0.409
Se: 0.904 0.591 0.206

---

Let's list calculated total energy in order: -5.45; -4.38; -2.41; -4.79; -5.25; -1.65; -6.15; -5.31; -3.96; -3.64; -6.21; -5.52; -3.24; -4.53; -5.03; -5.00; -5.08; -1.47; -7.14; -5.75 eV per atom.